Record 1
Here is crystalline Al3TlSi at its relaxed geometry from Alexandria. Energies are from PBE.

Values from the calculation:
Formation energy from raw total energies   0.484 eV per atom
N(E_F)   2.2 states/eV/cell

abc: 4.8858 4.8858 4.8858
angles: 90.00 90.00 90.00
With the nearest neighbours (Å) after each atom.
Space group Pm-3m (No. 221)
Symmetry-distinct sites (fractional):
Al: 0.0000 0.0000 0.5000 x3  2 Si 2.44
Tl: 0.5000 0.5000 0.5000 x1  12 Al 3.45
Si: 0.0000 0.0000 0.0000 x1  6 Al 2.44

=====

Record 2
Here is crystalline AlTlSi2 at its relaxed geometry from Alexandria. Energies are from PBE.

Values from the calculation:
Formation energy from raw total energies   0.614 eV per atom
N(E_F)   8.7 states/eV/cell

abc: 6.7665 6.7665 6.7665
angles: 90.00 90.00 90.00
With the nearest neighbours (Å) after each atom.
Space group F-43m (No. 216)
Symmetry-distinct sites (fractional):
Al: 0.0000 0.0000 0.0000 x4  4 Tl 2.93, 4 Si 2.93
Tl: 0.2500 0.2500 0.2500 x4  4 Al 2.93, 4 Si 2.93
Si: 0.0000 0.0000 0.5000 x4  4 Si 2.93, 4 Tl 2.93
Si: 0.2500 0.2500 0.7500 x4  4 Al 2.93, 4 Si 2.93

=====

Record 3
Here is crystalline AlTl2Si at its relaxed geometry from Alexandria. Energies are from PBE.

Values from the calculation:
Formation energy from raw total energies   0.487 eV per atom
N(E_F)   3.2 states/eV/cell

abc: 6.1256 10.4187 3.3649
angles: 90.00 116.98 90.00
With the nearest neighbours (Å) after each atom.
Space group C2/m (No. 12)
Symmetry-distinct sites (fractional):
Al: 0.0000 0.0000 0.0000 x2  4 Si 3.06-3.37, 4 Tl 3.10, 2 Al 3.36
Tl: 0.2500 0.2500 0.5000 x4  6 Tl 3.06-3.37, 2 Al 3.10, 2 Si 3.10
Si: 0.0000 0.5000 0.0000 x2  4 Al 3.06-3.37, 4 Tl 3.10, 2 Si 3.36

=====

Record 4
Here is crystalline AlTlSi at its relaxed geometry from Alexandria. Energies are from PBE.

Values from the calculation:
Formation energy from raw total energies   0.375 eV per atom
N(E_F)   2.4 states/eV/cell

abc: 3.2725 3.2725 12.0978
angles: 90.00 90.00 90.00
With the nearest neighbours (Å) after each atom.
Space group I4mm (No. 107)
Symmetry-distinct sites (fractional):
Al: 0.0000 0.0000 0.0000 x2  4 Si 2.67
Tl: 0.0000 0.0000 0.3056 x2  4 Tl 3.27, 4 Al 3.30, 4 Si 3.31
Si: 0.0000 0.0000 0.6102 x2  4 Al 2.67

=====

Record 5
Here is crystalline AlTl2Si at its relaxed geometry from Alexandria. Energies are from PBE.

Values from the calculation:
Formation energy from raw total energies   0.484 eV per atom
N(E_F)   1.6 states/eV/cell

abc: 3.2772 4.9354 6.0599
angles: 90.00 101.49 90.00
With the nearest neighbours (Å) after each atom.
Space group P2/m (No. 10)
Symmetry-distinct sites (fractional):
Al: 0.0000 0.0000 0.0000 x1  2 Si 3.14, 4 Tl 3.15, 2 Al 3.28
Tl: 0.2803 0.5000 0.7438 x2  2 Si 3.04, 2 Al 3.15, 4 Tl 3.15-3.28
Si: 0.5000 0.0000 0.5000 x1  4 Tl 3.04, 2 Al 3.14, 2 Si 3.28

=====

Record 6
Here is crystalline AlTlSi4 at its relaxed geometry from Alexandria. Energies are from PBE.

Values from the calculation:
Formation energy from raw total energies   0.537 eV per atom
N(E_F)   18.1 states/eV/cell

abc: 7.5759 7.5759 7.5759
angles: 90.00 90.00 90.00
With the nearest neighbours (Å) after each atom.
Space group F-43m (No. 216)
Symmetry-distinct sites (fractional):
Al: 0.0000 0.0000 0.0000 x4  12 Si 3.14, 4 Tl 3.28
Tl: 0.2500 0.2500 0.2500 x4  12 Si 3.15, 4 Al 3.28
Si: 0.1270 0.1270 0.6270 x16  6 Si 2.64-2.72

=====

Record 7
Here is crystalline Al2TlSi at its relaxed geometry from Alexandria. Energies are from PBE.

Values from the calculation:
Formation energy from raw total energies   0.425 eV per atom
N(E_F)   3.3 states/eV/cell

abc: 4.4870 4.4870 7.9162
angles: 90.00 90.00 90.00
With the nearest neighbours (Å) after each atom.
Space group I4/mmm (No. 139)
Symmetry-distinct sites (fractional):
Al: 0.0000 0.5000 0.2500 x4  4 Tl 2.99, 4 Si 2.99, 4 Al 3.17
Tl: 0.0000 0.0000 0.0000 x2  8 Al 2.99, 4 Si 3.17
Si: 0.0000 0.0000 0.5000 x2  8 Al 2.99, 4 Tl 3.17

=====

Record 8
Here is crystalline AlTlSi at its relaxed geometry from Alexandria. Energies are from PBE.

Values from the calculation:
Formation energy from raw total energies   0.217 eV per atom
N(E_F)   0.5 states/eV/cell

abc: 4.2097 4.2097 4.8669
angles: 90.00 90.00 120.00
With the nearest neighbours (Å) after each atom.
Space group P3m1 (No. 156)
Symmetry-distinct sites (fractional):
Al: 0.0000 0.0000 0.0000 x1  3 Si 2.43
Tl: 0.6667 0.3333 0.5011 x1  6 Si 3.43-3.44, 6 Al 3.44
Si: 0.3333 0.6667 0.0027 x1  3 Al 2.43

=====

Record 9
Here is crystalline AlTl2Si at its relaxed geometry from Alexandria. Energies are from PBE.

Values from the calculation:
Formation energy from raw total energies   0.494 eV per atom
N(E_F)   2.9 states/eV/cell

abc: 3.3286 3.3286 8.6812
angles: 90.00 90.00 90.00
With the nearest neighbours (Å) after each atom.
Space group P4/mmm (No. 123)
Symmetry-distinct sites (fractional):
Al: 0.0000 0.0000 0.0000 x1  8 Tl 3.25, 4 Al 3.33
Tl: 0.5000 0.5000 0.2582 x2  4 Si 3.15, 4 Al 3.25, 4 Tl 3.33
Si: 0.0000 0.0000 0.5000 x1  8 Tl 3.15, 4 Si 3.33

=====

Record 10
Here is crystalline Al2TlSi at its relaxed geometry from Alexandria. Energies are from PBE.

Values from the calculation:
Formation energy from raw total energies   0.455 eV per atom
N(E_F)   10.6 states/eV/cell

abc: 6.8970 6.8970 6.8970
angles: 90.00 90.00 90.00
With the nearest neighbours (Å) after each atom.
Space group F-43m (No. 216)
Symmetry-distinct sites (fractional):
Al: 0.0000 0.0000 0.0000 x4  4 Tl 2.99, 4 Al 2.99
Al: 0.2500 0.2500 0.2500 x4  4 Al 2.99, 4 Si 2.99
Tl: 0.2500 0.2500 0.7500 x4  4 Al 2.99, 4 Si 2.99
Si: 0.0000 0.0000 0.5000 x4  4 Tl 2.99, 4 Al 2.99

=====

Record 11
Here is crystalline AlTlSi2 at its relaxed geometry from Alexandria. Energies are from PBE.

Values from the calculation:
Formation energy from raw total energies   0.439 eV per atom
N(E_F)   1.9 states/eV/cell

abc: 3.2013 3.2013 27.9684
angles: 90.00 90.00 120.00
With the nearest neighbours (Å) after each atom.
Space group R-3m (No. 166, hexagonal axes)
Symmetry-distinct sites (fractional):
Al: 0.0000 0.0000 0.0000 x3  6 Si 2.63
Tl: 0.0000 0.0000 0.5000 x3  6 Tl 3.20, 6 Si 3.34
Si: 0.0000 0.0000 0.2662 x6  3 Al 2.63

=====

Record 12
Here is crystalline AlTl2Si at its relaxed geometry from Alexandria. Energies are from PBE.

Values from the calculation:
Formation energy from raw total energies   0.236 eV per atom
N(E_F)   1.9 states/eV/cell

abc: 3.2257 3.7459 8.1556
angles: 90.00 90.00 90.00
With the nearest neighbours (Å) after each atom.
Space group Pmm2 (No. 25)
Symmetry-distinct sites (fractional):
Al: 0.0000 0.0000 0.0000 x1  4 Si 2.66
Tl: 0.0000 0.0000 0.3901 x1  1 Al 3.18, 2 Tl 3.23, 4 Si 3.31
Tl: 0.5000 0.5000 0.7310 x1  1 Si 3.18, 2 Tl 3.23, 4 Al 3.30
Si: 0.5000 0.5000 0.1208 x1  4 Al 2.66

=====

Raw total energy? In order: -3.319, -3.624, -2.988, -3.469, -2.991, -4.097, -3.393, -3.627, -2.980, -3.363, -3.800, -3.239 eV per atom.